Entry 1:
RbBPS2 (PBE-GGA, relaxed); uncorrected formation energy = 2.312 eV/atom; electronic total energy = -1.95 eV per atom
1.0
6.0693 0.0000 0.0000
0.0000 6.0693 0.0000
0.0000 0.0000 6.4087
Rb B P S
1 1 1 2
Cartesian
0.0000 0.0000 0.0000
3.0347 3.0347 3.2043
0.0000 0.0000 3.2043
0.0000 3.0347 0.0000
3.0347 0.0000 0.0000

Entry 2:
RbBP2Se8 (PBE-GGA, relaxed); uncorrected formation energy = 0.029 eV/atom; electronic total energy = -3.83 eV per atom
1.0
2.9396 1.6972 11.2108
-2.9396 1.6972 11.2108
0.0000 -3.3944 11.2108
Rb B P Se
1 1 2 8
Cartesian
0.0000 0.0000 0.0000
0.0000 0.0000 16.8163
0.0000 0.0000 7.8316
0.0000 0.0000 25.8009
-0.7318 -1.5619 15.3023
-1.7185 -0.1471 18.3302
0.0000 0.0000 9.9844
-0.9867 1.4147 15.3023
0.9867 -1.4147 18.3303
0.0000 0.0000 23.6481
1.7185 0.1471 15.3023
0.7318 1.5619 18.3303

Entry 3:
Rb2SiBP (PBE-GGA, relaxed); uncorrected formation energy = 0.600 eV/atom; electronic total energy = -3.29 eV per atom
1.0
6.7461 0.0000 0.0000
0.0000 6.7461 0.0000
0.0000 0.0000 3.6047
Rb Si B P
2 1 1 1
Cartesian
0.0000 3.3731 0.0000
3.3731 0.0000 0.0000
0.0000 0.0000 0.0000
0.0000 0.0000 1.8023
3.3731 3.3731 1.8023

Entry 4:
RbBTe2P (PBE-GGA, relaxed); uncorrected formation energy = 2.149 eV/atom; electronic total energy = -1.72 eV per atom
1.0
6.7536 0.0000 0.0000
0.0000 6.7536 0.0000
0.0000 0.0000 6.3569
Rb B Te P
1 1 2 1
Cartesian
0.0000 0.0000 0.0000
3.3768 3.3768 3.1785
0.0000 3.3768 0.0000
3.3768 0.0000 0.0000
0.0000 0.0000 3.1785

What did the third record say?
Rb2SiBP (PBE-GGA, relaxed); uncorrected formation energy = 0.600 eV/atom; electronic total energy = -3.29 eV per atom
1.0
6.7461 0.0000 0.0000
0.0000 6.7461 0.0000
0.0000 0.0000 3.6047
Rb Si B P
2 1 1 1
Cartesian
0.0000 3.3731 0.0000
3.3731 0.0000 0.0000
0.0000 0.0000 0.0000
0.0000 0.0000 1.8023
3.3731 3.3731 1.8023

Which of these has the lowest uncorrected formation energy? RbBP2Se8

The highest uncorrected formation energy belongs to which entry? RbBPS2